This record from Alexandria via LeMat-Bulk describes a relaxed Li2CdIr crystal. The functional is PBE-GGA.

Lattice parameters (Å, degrees): 2.675 4.284 5.506 90.00 90.00 90.00
Fractional positions:
Li: 0.000 0.000 0.983
Li: 0.500 0.500 0.248
Ir: 0.500 0.500 0.767
Cd: 0.000 0.000 0.501

Computed properties:
**ΔH_f (0 K)**: -0.0662 eV/atom
**E**: -13.87 eV per formula unit

This record from Alexandria via LeMat-Bulk describes a relaxed NdTl2GeTe4 crystal. The functional is PBE-GGA.

Lattice parameters (Å, degrees): 4.481 8.142 7.881 70.97 90.00 90.00
Fractional positions:
Ge: 0.500 0.500 0.000
Tl: 0.500 0.000 0.500
Tl: 0.000 0.000 0.000
Te: 0.000 0.715 0.771
Te: 0.000 0.285 0.229
Te: 0.500 0.280 0.754
Te: 0.500 0.720 0.246
Nd: 0.000 0.500 0.500

Computed properties:
**Formation energy (no corrections)**: -54.01 kJ/mol of atoms
**E**: -31.16 eV per formula unit

This record from Alexandria via LeMat-Bulk describes a relaxed Cu2Re crystal. The functional is PBE-GGA.

Lattice parameters (Å, degrees): 2.526 4.720 14.051 90.00 90.00 90.00
Fractional positions:
Cu: 0.500 0.250 0.500
Cu: 0.000 0.750 0.830
Cu: 0.500 0.750 0.500
Cu: 0.000 0.750 0.000
Cu: 0.000 0.250 0.000
Cu: 0.500 0.750 0.670
Cu: 0.500 0.250 0.330
Cu: 0.000 0.250 0.170
Re: 0.000 0.750 0.334
Re: 0.500 0.750 0.166
Re: 0.500 0.250 0.834
Re: 0.000 0.250 0.666

Computed properties:
**E above lowest polymorph**: 31.7 kJ/mol of atoms
**ΔH_f (0 K)**: 0.5172 eV/atom
**E**: -19.09 eV per formula unit

This record from Alexandria via LeMat-Bulk describes a relaxed PmTmTh2As4 crystal. The functional is PBE-GGA.

Lattice parameters (Å, degrees): 4.216 7.250 7.303 70.33 90.00 90.00
Fractional positions:
Pm: 0.500 0.500 0.000
As: 0.000 0.746 0.747
As: 0.500 0.742 0.257
As: 0.000 0.254 0.253
As: 0.500 0.258 0.743
Th: 0.000 0.000 0.000
Th: 0.500 0.000 0.500
Tm: 0.000 0.500 0.500

Computed properties:
**ΔH_f (0 K)**: -1.4546 eV/atom
**E**: -54.30 eV per formula unit

This record from Alexandria via LeMat-Bulk describes a relaxed Dy2AlZn3 crystal. The functional is PBE-GGA.

Lattice parameters (Å, degrees): 3.762 4.340 8.296 105.16 103.11 90.00
Fractional positions:
Dy: 0.128 0.128 0.255
Dy: 0.873 0.373 0.746
Zn: 0.700 0.700 0.400
Zn: 0.298 0.798 0.597
Zn: 0.540 0.540 0.080
Al: 0.461 0.961 0.922

Computed properties:
**E above lowest polymorph**: 7.0 kJ/mol of atoms
**ΔH_f (0 K)**: -0.3399 eV/atom
**E**: -18.81 eV per formula unit

This record from Alexandria via LeMat-Bulk describes a relaxed YTmMnIr crystal. The functional is PBE-GGA.

Lattice parameters (Å, degrees): 4.888 4.888 4.888 60.00 60.00 60.00
Each line ends with the local moment (μB).
Fractional positions:
Ir: 0.000 0.000 0.000  0.15
Y: 0.250 0.250 0.250  -0.13
Tm: 0.750 0.750 0.750  -0.18
Mn: 0.500 0.500 0.500  3.44

Computed properties:
**ΔH_f (0 K)**: -0.3270 eV/atom
**E**: -30.27 eV per formula unit

This record from Alexandria via LeMat-Bulk describes a relaxed Zn2FeI6 crystal. The functional is PBE-GGA.

Lattice parameters (Å, degrees): 7.172 11.048 11.048 89.37 71.30 71.30
Each line ends with the local moment (μB).
Fractional positions:
I: 0.886 0.757 0.440  0.07
I: 0.228 0.829 0.663  0.01
I: 0.114 0.243 0.560  0.07
I: 0.419 0.944 0.249  0.07
I: 0.386 0.440 0.757  0.07
I: 0.919 0.249 0.944  0.07
I: 0.772 0.171 0.337  0.01
I: 0.728 0.663 0.829  0.01
I: 0.614 0.560 0.243  0.07
I: 0.581 0.056 0.751  0.07
I: 0.272 0.337 0.171  0.01
I: 0.081 0.751 0.056  0.07
Fe: 0.250 0.247 0.753  3.28
Fe: 0.750 0.753 0.247  3.28
Zn: 0.094 0.671 0.827  0.00
Zn: 0.594 0.827 0.671  0.00
Zn: 0.906 0.329 0.173  0.00
Zn: 0.406 0.173 0.329  0.00

Computed properties:
**Formation energy (no corrections)**: -39.73 kJ/mol of atoms
**E**: -24.02 eV per formula unit

This record from Alexandria via LeMat-Bulk describes a relaxed K3Pm3TiS8 crystal. The functional is PBE-GGA.

Lattice parameters (Å, degrees): 8.041 8.042 8.835 117.10 90.00 120.00
Fractional positions:
S: 0.764 0.977 0.689
S: 0.236 0.023 0.311
S: 0.264 0.528 0.292
S: 0.212 0.977 0.689
S: 0.736 0.472 0.708
S: 0.788 0.023 0.311
S: 0.212 0.424 0.689
S: 0.788 0.576 0.311
Ti: 0.000 0.000 0.500
Pm: 0.500 0.500 0.500
Pm: 0.000 0.500 0.500
Pm: 0.500 0.000 0.500
K: 0.000 0.000 0.000
K: 0.500 0.500 0.000
K: 0.000 0.500 0.000

Computed properties:
**Formation energy (no corrections)**: -164.87 kJ/mol of atoms
**E**: -84.09 eV per formula unit

This record from Alexandria via LeMat-Bulk describes a relaxed Ti2MnHg2 crystal. The functional is PBE-GGA.

Lattice parameters (Å, degrees): 6.218 6.218 4.710 90.00 90.00 90.00
Fractional positions:
Ti: 0.341 0.841 0.000
Ti: 0.159 0.341 0.000
Ti: 0.659 0.159 0.000
Ti: 0.841 0.659 0.000
Hg: 0.664 0.836 0.500
Hg: 0.336 0.164 0.500
Hg: 0.836 0.336 0.500
Hg: 0.164 0.664 0.500
Mn: 0.500 0.500 0.000
Mn: 0.000 0.000 0.000

Computed properties:
**ΔH_f (0 K)**: 0.3529 eV/atom
**E**: -23.80 eV per formula unit

This record from Alexandria via LeMat-Bulk describes a relaxed Pr4PRuCl2 crystal. The functional is PBE-GGA.

Lattice parameters (Å, degrees): 4.083 7.453 7.565 106.09 90.00 90.00
Fractional positions:
Pr: 0.000 0.729 0.211
Pr: 0.500 0.754 0.795
Pr: 0.500 0.246 0.205
Pr: 0.000 0.271 0.789
Cl: 0.500 0.000 0.500
Cl: 0.000 0.500 0.500
P: 0.000 0.000 0.000
Ru: 0.500 0.500 0.000

Computed properties:
**Formation energy (no corrections)**: -116.60 kJ/mol of atoms
**E**: -47.16 eV per formula unit

This record from Alexandria via LeMat-Bulk describes a relaxed UAuSe3 crystal. The functional is PBE-GGA.

Lattice parameters (Å, degrees): 6.947 7.006 10.176 90.00 101.97 90.00
Each line ends with the local moment (μB).
Fractional positions:
Au: 0.981 0.869 0.621  -0.05
Au: 0.519 0.369 0.879  -0.05
Au: 0.019 0.131 0.379  -0.05
Au: 0.481 0.631 0.121  -0.05
Se: 0.775 0.361 0.444  -0.08
Se: 0.819 0.352 0.100  -0.11
Se: 0.181 0.648 0.900  -0.11
Se: 0.225 0.639 0.556  -0.08
Se: 0.725 0.861 0.056  -0.08
Se: 0.681 0.852 0.400  -0.11
Se: 0.294 0.421 0.253  -0.11
Se: 0.794 0.079 0.753  -0.11
Se: 0.706 0.579 0.747  -0.11
Se: 0.275 0.139 0.944  -0.08
Se: 0.206 0.921 0.247  -0.11
Se: 0.319 0.148 0.600  -0.11
U: 0.449 0.858 0.795  1.57
U: 0.051 0.358 0.705  1.57
U: 0.551 0.142 0.205  1.57
U: 0.949 0.642 0.295  1.57

Computed properties:
**Formation energy (no corrections)**: -64.39 kJ/mol of atoms
**E**: -28.36 eV per formula unit

This record from Alexandria via LeMat-Bulk describes a relaxed Sm8AlSe6 crystal. The functional is PBE-GGA.

Lattice parameters (Å, degrees): 4.150 10.748 10.748 120.00 90.00 90.00
Fractional positions:
Sm: 0.750 0.333 0.667
Sm: 0.250 0.667 0.333
Sm: 0.750 0.319 0.034
Sm: 0.750 0.966 0.284
Sm: 0.250 0.284 0.319
Sm: 0.250 0.034 0.716
Sm: 0.250 0.681 0.966
Sm: 0.750 0.716 0.681
Se: 0.748 0.483 0.352
Se: 0.252 0.352 0.869
Se: 0.252 0.517 0.648
Se: 0.252 0.131 0.483
Se: 0.748 0.869 0.517
Se: 0.748 0.648 0.131
Al: 0.500 0.000 0.000

Computed properties:
**Formation energy (no corrections)**: -126.71 kJ/mol of atoms
**E**: -82.10 eV per formula unit

This record from Alexandria via LeMat-Bulk describes a relaxed SrPa4Se8 crystal. The functional is PBE-GGA.

Lattice parameters (Å, degrees): 8.188 8.188 8.684 103.12 104.31 119.80
Each line ends with the local moment (μB).
Fractional positions:
Se: 0.306 0.483 0.789  -0.03
Se: 0.295 0.964 0.781  -0.03
Se: 0.818 0.486 0.781  -0.03
Se: 0.182 0.514 0.219  -0.03
Se: 0.190 0.028 0.218  -0.03
Se: 0.705 0.036 0.219  -0.03
Se: 0.810 0.972 0.782  -0.03
Se: 0.694 0.517 0.211  -0.03
Sr: 0.000 0.500 0.500  0.03
Pa: 0.740 0.239 0.979  1.25
Pa: 0.249 0.249 0.000  1.23
Pa: 0.260 0.761 0.021  1.25
Pa: 0.751 0.751 0.000  1.23

Computed properties:
**Formation energy (no corrections)**: -134.06 kJ/mol of atoms
**E above lowest polymorph**: 0.0 kJ/mol of atoms
**E**: -85.60 eV per formula unit

This record from Alexandria via LeMat-Bulk describes a relaxed TlAgF2 crystal. The functional is PBE-GGA.

Lattice parameters (Å, degrees): 5.268 5.268 7.552 69.58 69.58 90.00
Fractional positions:
Tl: 0.000 0.000 0.000
Tl: 0.750 0.250 0.500
F: 0.375 0.424 0.750
F: 0.174 0.625 0.250
F: 0.576 0.125 0.250
F: 0.875 0.826 0.750
Ag: 0.500 0.500 0.000
Ag: 0.250 0.750 0.500

Computed properties:
**Formation energy (no corrections)**: -127.95 kJ/mol of atoms
**E above lowest polymorph**: 1.1 kJ/mol of atoms
**E**: -14.26 eV per formula unit

This record from Alexandria via LeMat-Bulk describes a relaxed NdZrGa2 crystal. The functional is PBE-GGA.

Lattice parameters (Å, degrees): 4.009 4.686 4.686 90.00 90.00 90.00
Fractional positions:
Ga: 0.000 0.000 0.500
Ga: 0.000 0.500 0.000
Zr: 0.500 0.000 0.000
Nd: 0.500 0.500 0.500

Computed properties:
**E above lowest polymorph**: 10.5 kJ/mol of atoms
**ΔH_f (0 K)**: -0.3863 eV/atom
**E**: -20.91 eV per formula unit

This record from Alexandria via LeMat-Bulk describes a relaxed Ge3Te2Au crystal. The functional is PBE-GGA.

Lattice parameters (Å, degrees): 7.257 7.044 7.044 121.48 99.61 99.61
Fractional positions:
Te: 0.750 0.764 0.236
Te: 0.250 0.921 0.079
Te: 0.750 0.079 0.921
Te: 0.250 0.236 0.764
Au: 0.750 0.406 0.594
Au: 0.250 0.594 0.406
Ge: 0.500 0.000 0.500
Ge: 0.000 0.500 0.000
Ge: 0.013 0.221 0.366
Ge: 0.987 0.779 0.634
Ge: 0.513 0.366 0.221
Ge: 0.487 0.634 0.779

Computed properties:
**Formation energy (no corrections)**: 1.79 kJ/mol of atoms
**E**: -23.30 eV per formula unit

This record from Alexandria via LeMat-Bulk describes a relaxed Mg2MoIr crystal. The functional is PBE-GGA.

Lattice parameters (Å, degrees): 4.529 4.529 4.529 60.00 60.00 60.00
Each line ends with the local moment (μB).
Fractional positions:
Ir: 0.500 0.500 0.500  0.20
Mg: 0.250 0.250 0.250  0.00
Mg: 0.750 0.750 0.750  0.00
Mo: 0.000 0.000 0.000  2.04

Computed properties:
**E above lowest polymorph**: 37.7 kJ/mol of atoms
**ΔH_f (0 K)**: 0.2736 eV/atom
**E**: -21.79 eV per formula unit

This record from Alexandria via LeMat-Bulk describes a relaxed La3Sm2Pd2 crystal. The functional is PBE-GGA.

Lattice parameters (Å, degrees): 3.953 6.571 9.045 101.68 102.61 107.50
Fractional positions:
Sm: 0.649 0.487 0.811
Sm: 0.351 0.513 0.189
Pd: 0.945 0.108 0.782
Pd: 0.055 0.892 0.218
La: 0.826 0.210 0.441
La: 0.174 0.790 0.559
La: 0.500 0.000 0.000

Computed properties:
**ΔH_f (0 K)**: -0.4561 eV/atom
**E**: -37.80 eV per formula unit

This record from Alexandria via LeMat-Bulk describes a relaxed PrSm3Ho2As6 crystal. The functional is PBE-GGA.

Lattice parameters (Å, degrees): 7.263 7.263 7.265 99.59 99.59 119.99
Fractional positions:
As: 0.083 0.423 0.248
As: 0.423 0.083 0.248
As: 0.742 0.742 0.246
As: 0.917 0.577 0.752
As: 0.258 0.258 0.754
As: 0.577 0.917 0.752
Sm: 0.835 0.165 0.500
Sm: 0.165 0.835 0.500
Sm: 0.500 0.500 0.500
Ho: 0.667 0.333 0.000
Ho: 0.333 0.667 0.000
Pr: 0.000 0.000 0.000

Computed properties:
**ΔH_f (0 K)**: -1.5144 eV/atom
**E**: -74.16 eV per formula unit

This record from Alexandria via LeMat-Bulk describes a relaxed Cs3TlPb crystal. The functional is PBE-GGA.

Lattice parameters (Å, degrees): 9.921 9.921 8.746 109.58 115.07 109.33
Fractional positions:
Cs: 0.810 0.568 0.782
Cs: 0.724 0.481 0.205
Cs: 0.190 0.432 0.218
Cs: 0.276 0.519 0.795
Cs: 0.214 0.972 0.782
Cs: 0.786 0.028 0.218
Pb: 0.371 0.892 0.263
Pb: 0.629 0.108 0.737
Tl: 0.697 0.849 0.546
Tl: 0.303 0.151 0.454

Computed properties:
**E above lowest polymorph**: 2.1 kJ/mol of atoms
**ΔH_f (0 K)**: -0.0389 eV/atom
**E**: -8.83 eV per formula unit